(1)
This record from Alexandria via LeMat-Bulk describes a geometry-optimized PrDyNb structure. The functional is PBE.

Geometry as POSCAR:
```
PrDyNb
1.0
-2.333 -2.633 0.429
2.588 -2.097 1.210
-2.456 4.225 12.572
Pr Dy Nb
2 2 2
Direct
0.000 0.500 0.600 Pr
0.500 0.000 0.400 Pr
0.500 0.000 0.805 Dy
0.000 0.500 0.195 Dy
0.000 0.500 0.953 Nb
0.500 0.000 0.047 Nb
```

Results
crystal system = tetragonal
energy relative to the elements = 0.095 eV per atom
M_tot = 0.00 μB per formula unit
total energy = -6.389 eV/atom

=====

(2)
This record from Alexandria via LeMat-Bulk describes a geometry-optimized ZrCu2Tc2 structure. The functional is PBE.

Geometry as POSCAR:
```
ZrCu2Tc2
1.0
-2.300 6.806 1.953
-3.211 -2.833 6.090
2.354 0.388 1.422
Cu Tc Zr
4 4 2
Direct
0.181 0.681 0.500 Cu
0.681 0.819 0.500 Cu
0.819 0.319 0.500 Cu
0.319 0.181 0.500 Cu
0.387 0.887 0.000 Tc
0.887 0.613 0.000 Tc
0.613 0.113 0.000 Tc
0.113 0.387 0.000 Tc
0.000 0.000 0.000 Zr
0.500 0.500 0.000 Zr
```

Results
crystal system = tetragonal
energy relative to the elements = 0.195 eV per atom
M_tot = 0.00 μB per formula unit
total energy = -7.299 eV/atom

=====

(3)
This record from Alexandria via LeMat-Bulk describes a geometry-optimized Hf2Zn12Ni structure. The functional is PBE.

Geometry as POSCAR:
```
Hf2Zn12Ni
1.0
-1.875 -5.092 0.810
2.843 -1.740 -4.358
12.651 -3.147 9.512
Hf Zn Ni
4 24 2
Direct
0.500 0.000 0.244 Hf
0.000 0.500 0.244 Hf
0.000 0.500 0.756 Hf
0.500 0.000 0.756 Hf
0.500 0.500 0.809 Zn
0.000 0.000 0.809 Zn
0.750 0.750 0.910 Zn
0.250 0.750 0.910 Zn
0.000 0.000 0.335 Zn
0.250 0.750 0.090 Zn
0.832 0.332 0.570 Zn
0.500 0.500 0.335 Zn
0.250 0.250 0.910 Zn
0.750 0.750 0.090 Zn
0.332 0.168 0.570 Zn
0.668 0.168 0.430 Zn
0.000 0.000 0.665 Zn
0.168 0.332 0.430 Zn
0.250 0.250 0.090 Zn
0.832 0.668 0.430 Zn
0.668 0.832 0.570 Zn
0.000 0.000 0.191 Zn
0.168 0.668 0.570 Zn
0.500 0.500 0.665 Zn
0.750 0.250 0.910 Zn
0.500 0.500 0.191 Zn
0.332 0.832 0.430 Zn
0.750 0.250 0.090 Zn
0.500 0.000 0.000 Ni
0.000 0.500 0.000 Ni
```

Results
crystal system = tetragonal
energy relative to the elements = -0.010 eV per atom
M_tot = 0.00 μB per formula unit
total energy = -2.741 eV/atom

=====

(4)
This record from Alexandria via LeMat-Bulk describes a geometry-optimized Ce5Nd3N8 structure. The functional is PBE.

Geometry as POSCAR:
```
Ce5Nd3N8
1.0
-6.967 -0.557 -1.705
-2.734 -6.370 -1.923
-4.516 -3.454 4.409
Ce Nd N
5 3 8
Direct
0.500 0.000 0.000 Ce
0.500 0.500 0.000 Ce
0.000 0.000 0.000 Ce
0.000 0.500 0.000 Ce
0.500 0.500 0.500 Ce
0.500 0.000 0.500 Nd
0.000 0.000 0.500 Nd
0.000 0.500 0.500 Nd
0.250 0.250 0.760 N
0.250 0.740 0.760 N
0.740 0.250 0.760 N
0.744 0.744 0.768 N
0.750 0.750 0.240 N
0.750 0.260 0.240 N
0.260 0.750 0.240 N
0.256 0.256 0.232 N
```

Results
formation energy without anion corrections = -1.4632 eV per atom
crystal system = trigonal
M_tot = 1.21 μB per formula unit
total energy = -8.374 eV/atom

=====

(5)
This record from Alexandria via LeMat-Bulk describes a geometry-optimized Sr3Te structure. The functional is PBE.

Geometry as POSCAR:
```
Sr3Te
1.0
-3.791 2.854 1.266
-2.960 -3.760 -0.386
0.228 -2.846 7.098
Sr Te
3 1
Direct
0.000 0.888 0.025 Sr
0.500 0.500 0.750 Sr
0.000 0.112 0.475 Sr
0.500 0.500 0.250 Te
```

Results
formation energy without anion corrections = -0.6095 eV per atom
crystal system = monoclinic
M_tot = 0.00 μB per formula unit
total energy = -2.656 eV/atom

=====

(6)
This record from Alexandria via LeMat-Bulk describes a geometry-optimized Cr2InRe structure. The functional is PBE.

Geometry as POSCAR:
```
Cr2InRe
1.0
2.738 0.000 0.000
-1.047 2.530 0.000
0.000 0.000 8.628
Cr In Re
2 1 1
Direct
0.000 0.000 0.013 Cr
0.500 0.500 0.219 Cr
0.000 0.000 0.490 In
0.500 0.500 0.778 Re
```

Results
crystal system = orthorhombic
energy relative to the elements = 0.450 eV per atom
M_tot = 0.00 μB per formula unit
total energy = -8.159 eV/atom

=====

(7)
This record from Alexandria via LeMat-Bulk describes a geometry-optimized AlCr2Re structure. The functional is PBE.

Geometry as POSCAR:
```
AlCr2Re
1.0
4.896 -0.004 -0.015
3.983 2.848 -0.015
1.807 0.579 3.739
Re Al Cr
1 1 2
Direct
0.490 0.490 0.510 Re
0.255 0.255 0.245 Al
0.012 0.012 0.988 Cr
0.744 0.744 0.756 Cr
```

Results
crystal system = orthorhombic
energy relative to the elements = -0.131 eV per atom
M_tot = 0.74 μB per formula unit
total energy = -8.990 eV/atom

=====

(8)
This record from Alexandria via LeMat-Bulk describes a geometry-optimized P2S structure. The functional is PBE.

Geometry as POSCAR:
```
P2S
1.0
-0.636 0.658 -2.306
-3.181 -1.780 0.370
-2.799 5.512 2.462
P S
2 1
Direct
0.430 0.000 0.412 P
0.421 0.500 0.202 P
0.443 0.000 0.727 S
```

Results
formation energy without anion corrections = 0.2341 eV per atom
crystal system = monoclinic
M_tot = 0.00 μB per formula unit
total energy = -4.748 eV/atom

=====

(9)
This record from Alexandria via LeMat-Bulk describes a geometry-optimized Hf4CoS structure. The functional is PBE.

Geometry as POSCAR:
```
Hf4CoS
1.0
-1.340 1.282 -2.783
-3.648 -4.872 -0.488
-7.734 5.598 6.304
Hf Co S
8 2 2
Direct
0.500 0.158 0.358 Hf
0.000 0.342 0.142 Hf
0.500 0.842 0.642 Hf
0.000 0.658 0.858 Hf
0.000 0.682 0.359 Hf
0.500 0.818 0.141 Hf
0.000 0.318 0.641 Hf
0.500 0.182 0.859 Hf
0.000 0.000 0.500 Co
0.500 0.500 0.000 Co
0.500 0.500 0.500 S
0.000 0.000 0.000 S
```

Results
formation energy without anion corrections = -0.4449 eV per atom
crystal system = monoclinic
M_tot = 0.00 μB per formula unit
total energy = -8.953 eV/atom

=====

(10)
This record from Alexandria via LeMat-Bulk describes a geometry-optimized CsIn2PN structure. The functional is PBE.

Geometry as POSCAR:
```
CsIn2PN
1.0
-2.864 -1.137 -3.564
4.176 -3.913 -2.108
-1.894 -3.430 2.616
Cs P N In
1 1 1 2
Direct
0.000 0.500 0.000 Cs
0.500 0.500 0.500 P
0.000 0.000 0.000 N
0.000 0.000 0.500 In
0.500 0.000 0.000 In
```

Results
formation energy without anion corrections = 0.6892 eV per atom
crystal system = tetragonal
M_tot = 0.91 μB per formula unit
total energy = -3.324 eV/atom

=====

(11)
This record from Alexandria via LeMat-Bulk describes a geometry-optimized HoTa2Os2 structure. The functional is PBE.

Geometry as POSCAR:
```
HoTa2Os2
1.0
-3.624 0.867 2.280
2.014 -1.238 3.673
2.496 5.227 -2.205
Ho Ta Os
1 2 2
Direct
0.000 0.000 0.000 Ho
0.750 0.250 0.500 Ta
0.250 0.750 0.500 Ta
0.618 0.618 0.236 Os
0.382 0.382 0.764 Os
```

Results
crystal system = tetragonal
energy relative to the elements = -0.315 eV per atom
M_tot = 0.00 μB per formula unit
total energy = -10.464 eV/atom

=====

(12)
This record from Alexandria via LeMat-Bulk describes a geometry-optimized LiAcAlAu structure. The functional is PBE.

Geometry as POSCAR:
```
LiAcAlAu
1.0
-2.916 3.456 -0.729
-0.910 -3.123 3.221
4.161 3.866 1.684
Li Ac Al Au
1 1 1 1
Direct
0.818 0.636 0.096 Li
0.621 0.241 0.504 Ac
0.107 0.214 0.963 Al
0.421 0.842 0.905 Au
```

Results
crystal system = monoclinic
energy relative to the elements = -0.512 eV per atom
M_tot = 0.00 μB per formula unit
total energy = -3.772 eV/atom

=====

Question: What is the formula in the ninth record?
Answer: Hf4CoS

=====

Question: M_tot of number 6 (Cr2InRe)?
Answer: 0.00 μB per formula unit

=====

Question: Look up the total energy of the fifth one.
Answer: -2.656 eV/atom